[1]
GGA-PBE YTm3Sn2C2, optimized geometry; space group = P3m1, No. 156; uncorrected energy = -51.0 eV per cell
1.0
-3.4809 0.5004 0.6779
1.5755 -3.0857 0.9073
3.5892 5.9586 14.0324
C Sn Tm Y
2 2 3 1
Direct
0.6667 0.3333 0.5002
0.6667 0.3333 0.9978
0.3333 0.6667 0.2521
0.0000 0.0000 0.7494
0.0000 0.0000 0.4168
0.3333 0.6667 0.5836
0.3333 0.6667 0.9153
0.0000 0.0000 0.0849


[2]
GGA-PBE InAsOs, optimized geometry; excess energy over the best structure of this formula in the dataset = 0 meV per atom; space group = F-43m, No. 216; uncorrected energy = -17.3 eV per cell
1.0
-2.8353 -2.1397 -2.6021
-3.3666 2.1637 -1.8364
-0.0204 0.7689 -4.3355
As In Os
1 1 1
Direct
0.2500 0.2500 0.2500
0.7500 0.7500 0.7500
0.0000 0.0000 0.0000


[3]
GGA-PBE NbB2Mo, optimized geometry; space group = F-43m, No. 216; uncorrected energy = -30.0 eV per cell
1.0
0.0000 2.9019 2.9019
2.9019 0.0000 2.9019
2.9019 2.9019 0.0000
B Mo Nb
2 1 1
Direct
0.0000 0.0000 0.0000
0.2500 0.2500 0.2500
0.5000 0.5000 0.5000
0.7500 0.7500 0.7500


[4]
GGA-PBE Cu4Ag, optimized geometry; excess energy over the best structure of this formula in the dataset = 23 meV per atom; space group = C2/m, No. 12; calculated formation energy = 67 meV/atom; uncorrected energy = -34.7 eV per cell
1.0
6.8115 -1.8355 0.0000
6.8115 1.8355 0.0000
-1.1276 0.0000 5.2163
Ag Cu
2 8
Direct
0.3040 0.3040 0.3933
0.6960 0.6960 0.6067
0.5000 0.5000 0.0000
0.6943 0.6943 0.0939
0.9045 0.9045 0.1901
0.0925 0.0925 0.2876
0.5000 0.5000 0.5000
0.9075 0.9075 0.7124
0.0955 0.0955 0.8099
0.3057 0.3057 0.9061


[5]
GGA-PBE TbEr, optimized geometry; excess energy over the best structure of this formula in the dataset = 1946 meV per atom; space group = F-43m, No. 216; calculated formation energy = 1954 meV/atom; uncorrected energy = -5.3 eV per cell
1.0
-1.8531 -4.4063 0.9874
-3.4784 -0.4809 3.3902
-4.5709 -1.0790 -1.3292
Er Tb
1 1
Direct
0.0000 0.0000 0.0000
0.2500 0.2500 0.2500


[6]
GGA-PBE Er3Tm3BiSbOs, optimized geometry; space group = P-6, No. 174; uncorrected energy = -52.1 eV per cell
1.0
-5.1555 0.5704 6.3034
7.8917 -1.6208 1.3155
0.7958 4.1016 0.2797
Bi Er Os Sb Tm
1 3 1 1 3
Direct
0.3333 0.6667 0.0000
0.2752 0.3262 0.5000
0.0510 0.7248 0.5000
0.6738 0.9490 0.5000
0.6667 0.3333 0.5000
0.0000 0.0000 0.0000
0.4316 0.0996 0.0000
0.9004 0.3320 0.0000
0.6680 0.5684 0.0000


[7]
GGA-PBE TaBiN2O, optimized geometry; space group = P1, No. 1; uncorrected energy = -83.1 eV per cell
1.0
-1.6861 0.7832 -5.1679
0.2396 -5.1867 1.9555
-3.9492 1.5737 4.4154
Bi N O Ta
2 4 2 2
Direct
0.7005 0.3517 0.0945
0.2384 0.6220 0.9067
0.2378 0.4330 0.2525
0.4724 0.0240 0.2795
0.7445 0.5512 0.7133
0.1636 0.1858 0.7250
0.8631 0.8113 0.2965
0.5503 0.9795 0.7309
0.3148 0.1791 0.4476
0.7146 0.8625 0.5535


[8]
GGA-PBE LuMgCoSn, optimized geometry; excess energy over the best structure of this formula in the dataset = 0 meV per atom; space group = F-43m, No. 216; uncorrected energy = -17.9 eV per cell
1.0
0.0000 3.3141 3.3141
3.3141 0.0000 3.3141
3.3141 3.3141 0.0000
Co Lu Mg Sn
1 1 1 1
Direct
0.2500 0.2500 0.2500
0.5000 0.5000 0.5000
0.7500 0.7500 0.7500
0.0000 0.0000 0.0000


[9]
GGA-PBE ScTlFeIr, optimized geometry; excess energy over the best structure of this formula in the dataset = 0 meV per atom; space group = F-43m, No. 216; uncorrected energy = -26.0 eV per cell
1.0
0.0000 3.2452 3.2452
3.2452 0.0000 3.2452
3.2452 3.2452 0.0000
Fe Ir Sc Tl
1 1 1 1
Direct
0.7500 0.7500 0.7500
0.2500 0.2500 0.2500
0.5000 0.5000 0.5000
0.0000 0.0000 0.0000


[10]
GGA-PBE BaGdSi4Os2, optimized geometry; space group = Pm, No. 6; uncorrected energy = -54.8 eV per cell
1.0
4.6155 0.0000 0.0000
0.0000 4.1358 0.0000
-1.7956 0.0000 8.2207
Ba Gd Os Si
1 1 2 4
Direct
0.4189 0.0000 0.3063
0.5896 0.5000 0.7084
0.8741 0.5000 0.1043
0.1184 0.0000 0.8825
0.3285 0.5000 0.0005
0.9665 0.5000 0.4139
0.0387 0.0000 0.5973
0.6655 0.0000 0.9868


[11]
GGA-PBE PmHgNO, optimized geometry; excess energy over the best structure of this formula in the dataset = 50 meV per atom; space group = Pmc2_1, No. 26; uncorrected energy = -45.2 eV per cell
1.0
-2.0315 -3.5187 0.0000
0.0000 0.0000 5.7046
-5.3845 3.1088 0.0000
Hg N O Pm
2 2 2 2
Direct
0.5000 0.9674 0.2330
0.5000 0.4674 0.7670
0.0000 0.9014 0.3399
0.0000 0.4014 0.6601
0.5000 0.4013 0.1593
0.5000 0.9013 0.8407
0.0000 0.4839 0.2925
0.0000 0.9839 0.7075


[12]
GGA-PBE PrNb, optimized geometry; excess energy over the best structure of this formula in the dataset = 1726 meV per atom; space group = F-43m, No. 216; calculated formation energy = 2389 meV/atom; uncorrected energy = -10.1 eV per cell
1.0
3.2289 -1.1467 3.0404
-0.2404 -4.0153 2.1919
2.9914 -3.3278 -0.9810
Nb Pr
1 1
Direct
0.0000 0.0000 0.0000
0.2500 0.2500 0.2500


[13]
GGA-PBE ZnB4Mo, optimized geometry; excess energy over the best structure of this formula in the dataset = 20 meV per atom; space group = Immm, No. 71; uncorrected energy = -38.8 eV per cell
1.0
-1.5018 2.6130 3.4084
1.5018 -2.6130 3.4084
1.5018 2.6130 -3.4084
B Mo Zn
4 1 1
Direct
0.5859 0.2485 0.3374
0.0890 0.7515 0.3374
0.9110 0.2485 0.6626
0.4141 0.7515 0.6626
0.0000 0.0000 0.0000
0.5000 0.5000 0.0000


[14]
GGA-PBE LiAl2Pt, optimized geometry; space group = Fm-3m, No. 225; uncorrected energy = -75.1 eV per cell
1.0
-2.4680 -4.9932 -2.4515
0.7896 -2.1683 3.6215
-7.6899 2.3012 3.0545
Al Li Pt
8 4 4
Direct
0.5000 0.7500 0.1250
0.0000 0.7500 0.1251
0.5000 0.2500 0.3749
0.0000 0.2500 0.3750
0.0000 0.7500 0.6250
0.5000 0.7500 0.6251
0.0000 0.2500 0.8749
0.5000 0.2500 0.8750
0.2499 0.2500 0.1249
0.7499 0.7500 0.3751
0.2501 0.2500 0.6249
0.7501 0.7500 0.8751
0.7500 0.2500 0.1250
0.2500 0.7500 0.3750
0.7500 0.2500 0.6250
0.2500 0.7500 0.8750


[15]
GGA-PBE Zr2H6O7, optimized geometry; space group = C2/c, No. 15; uncorrected energy = -200.0 eV per cell
1.0
-2.6762 2.3707 -4.2133
3.7709 -4.2822 -1.1812
-7.7351 -6.3757 1.3258
H O Zr
12 14 4
Direct
0.3189 0.2552 0.0024
0.8555 0.1109 0.0722
0.7153 0.6575 0.1677
0.0578 0.3425 0.3323
0.7447 0.8891 0.4278
0.0637 0.7448 0.4976
0.9363 0.2552 0.5024
0.2553 0.1109 0.5722
0.9422 0.6575 0.6677
0.2847 0.3425 0.8323
0.1445 0.8891 0.9278
0.6811 0.7448 0.9976
0.9843 0.2756 0.0321
0.5861 0.7850 0.0703
0.7855 0.5497 0.2134
0.3127 0.0000 0.2500
0.2358 0.4504 0.2866
0.8012 0.2150 0.4297
0.7088 0.7244 0.4679
0.2912 0.2756 0.5321
0.1989 0.7850 0.5703
0.7642 0.5496 0.7134
0.6873 0.0000 0.7500
0.2145 0.4504 0.7866
0.4139 0.2150 0.9297
0.0157 0.7244 0.9679
0.1991 0.6729 0.1418
0.5262 0.3271 0.3582
0.4738 0.6730 0.6418
0.8009 0.3271 0.8582


[16]
GGA-PBE TmZrHgC, optimized geometry; excess energy over the best structure of this formula in the dataset = 0 meV per atom; space group = P-6m2, No. 187; uncorrected energy = -49.0 eV per cell
1.0
-0.0168 1.1632 -3.2319
0.2448 -3.3713 0.6107
-15.1947 -1.1651 -0.3401
C Hg Tm Zr
2 2 2 2
Direct
0.0000 0.0000 0.2615
0.0000 0.0000 0.7385
0.3333 0.6667 0.0000
0.6667 0.3333 0.5000
0.6667 0.3333 0.1662
0.6667 0.3333 0.8338
0.3333 0.6667 0.3375
0.3333 0.6667 0.6625


[17]
GGA-PBE Li2Pd3S4, optimized geometry; space group = P2_1/c, No. 14; uncorrected energy = -83.7 eV per cell
1.0
4.9727 0.0000 0.0000
0.0000 10.1493 0.0000
-2.2048 0.0000 5.7584
Li Pd S
4 6 8
Direct
0.3789 0.6996 0.0257
0.6211 0.1996 0.4743
0.3789 0.8004 0.5257
0.6211 0.3004 0.9743
0.0000 0.5000 0.0000
0.2576 0.1251 0.0223
0.7424 0.6251 0.4777
0.0000 0.0000 0.5000
0.2576 0.3749 0.5223
0.7424 0.8749 0.9777
0.9668 0.6910 0.2128
0.5285 0.9464 0.2418
0.4715 0.4464 0.2582
0.0332 0.1910 0.2872
0.9668 0.8090 0.7128
0.5285 0.5536 0.7418
0.4715 0.0536 0.7582
0.0332 0.3090 0.7872


[18]
GGA-PBE ErZrZn2Pt4, optimized geometry; space group = P4/mmm, No. 123; calculated formation energy = -860 meV/atom; uncorrected energy = -46.7 eV per cell
1.0
-1.5335 -4.1952 1.1967
4.2375 -1.1309 1.4656
-1.4618 2.2310 5.9478
Er Pt Zn Zr
1 4 2 1
Direct
0.0000 0.0000 0.5000
0.5000 0.0000 0.2388
0.0000 0.5000 0.2388
0.5000 0.0000 0.7612
0.0000 0.5000 0.7612
0.0000 0.0000 0.0000
0.5000 0.5000 0.5000
0.5000 0.5000 0.0000


[19]
GGA-PBE Si2NiBi, optimized geometry; space group = F-43m, No. 216; uncorrected energy = -18.1 eV per cell
1.0
1.5513 -0.6552 4.3419
4.3444 -1.5169 0.7164
3.2036 2.8697 1.7860
Bi Ni Si
1 1 2
Direct
0.5000 0.5000 0.5000
0.7500 0.7500 0.7500
0.0000 0.0000 0.0000
0.2500 0.2500 0.2500


[20]
GGA-PBE AcErNO, optimized geometry; excess energy over the best structure of this formula in the dataset = 192 meV per atom; space group = P4/nmm, No. 129; uncorrected energy = -58.8 eV per cell
1.0
-3.8377 2.1794 -0.9362
0.1239 -1.5942 -4.2187
-4.7340 -7.2233 2.5905
Ac Er N O
2 2 2 2
Direct
0.0000 0.0000 0.1228
0.5000 0.5000 0.8772
0.5000 0.0000 0.5000
0.0000 0.5000 0.5000
0.5000 0.5000 0.4593
0.0000 0.0000 0.5407
0.5000 0.0000 0.0000
0.0000 0.5000 0.0000


[21]
GGA-PBE GdTm2In3AgIr2, optimized geometry; space group = Amm2, No. 38; uncorrected energy = -47.8 eV per cell
1.0
-3.6020 -1.2381 0.1074
-0.3699 1.7283 7.5155
-1.9605 5.2423 -5.3180
Ag Gd In Ir Tm
1 1 3 2 2
Direct
0.0000 0.0010 0.0010
0.0000 0.5880 0.5880
0.5000 0.7312 0.0015
0.5000 0.2684 0.2684
0.5000 0.0015 0.7312
0.5000 0.6674 0.3298
0.5000 0.3298 0.6674
0.0000 0.4124 0.0002
0.0000 0.0002 0.4124


[22]
GGA-PBE MoAs, optimized geometry; space group = Pmma, No. 51; uncorrected energy = -61.3 eV per cell
1.0
5.1136 0.0000 0.0000
0.0000 4.3671 0.0000
0.0000 0.0000 6.5534
As Mo
4 4
Direct
0.7500 0.5000 0.1196
0.2500 0.0000 0.2748
0.7500 0.0000 0.7252
0.2500 0.5000 0.8804
0.7500 0.0000 0.3225
0.0000 0.5000 0.5000
0.5000 0.5000 0.5000
0.2500 0.0000 0.6775


[23]
GGA-PBE BeTcB4, optimized geometry; excess energy over the best structure of this formula in the dataset = 0 meV per atom; space group = Immm, No. 71; uncorrected energy = -41.2 eV per cell
1.0
-1.4528 2.5864 3.1737
1.4528 -2.5864 3.1737
1.4528 2.5864 -3.1737
B Be Tc
4 1 1
Direct
0.6031 0.2632 0.3398
0.0766 0.7368 0.3398
0.9234 0.2632 0.6602
0.3969 0.7368 0.6602
0.0000 0.0000 0.0000
0.5000 0.5000 0.0000


[24]
GGA-PBE GdYFe2, optimized geometry; excess energy over the best structure of this formula in the dataset = 1 meV per atom; space group = Pmc2_1, No. 26; calculated formation energy = 20 meV/atom; uncorrected energy = -55.3 eV per cell
1.0
3.7272 0.0000 0.0000
0.0000 5.6919 0.0000
0.0000 0.0000 7.8025
Fe Gd Y
4 2 2
Direct
0.0000 0.6519 0.0303
0.5000 0.1529 0.4700
0.0000 0.3481 0.5303
0.5000 0.8471 0.9700
0.0000 0.1348 0.1777
0.0000 0.8652 0.6777
0.5000 0.6346 0.3219
0.5000 0.3654 0.8219


no.,density (g/cm3)
1,8.181
2,10.452
3,7.151
4,9.218
5,6.587
6,10.510
7,10.233
8,8.598
9,12.083
10,8.332
11,8.656
12,5.712
13,6.350
14,7.576
15,3.489
16,10.080
17,5.273
18,13.934
19,7.530
20,7.678
21,11.292
22,7.755
23,5.231
24,7.180